DFT (PBE) results for crystalline Ba4NaAu2 at its relaxed geometry.

abc: 4.822 15.334 17.952
angles: 90.00 90.00 90.00
Element x y z (fractional)
Ba 0.750 0.084 0.070
Ba 0.250 0.916 0.930
Ba 0.750 0.584 0.430
Ba 0.250 0.416 0.570
Ba 0.750 0.969 0.713
Ba 0.250 0.031 0.287
Ba 0.750 0.469 0.787
Ba 0.250 0.531 0.213
Ba 0.750 0.385 0.026
Ba 0.250 0.615 0.974
Ba 0.750 0.885 0.474
Ba 0.250 0.115 0.526
Ba 0.250 0.201 0.859
Ba 0.750 0.799 0.141
Ba 0.250 0.701 0.641
Ba 0.750 0.299 0.359
Na 0.250 0.763 0.323
Na 0.750 0.237 0.677
Na 0.250 0.263 0.177
Na 0.750 0.737 0.823
Au 0.750 0.056 0.885
Au 0.250 0.944 0.115
Au 0.750 0.556 0.615
Au 0.250 0.444 0.385
Au 0.250 0.415 0.904
Au 0.750 0.585 0.096
Au 0.250 0.915 0.596
Au 0.750 0.085 0.404

For the total energy, the calculation gives -0.196 Ry per atom. Its energy of formation is -0.437 eV per atom. As for the space-group type: Pnma (62).

---

DFT (PBE) results for crystalline FeTe2SeN at its relaxed geometry.

abc: 5.296 5.296 3.436
angles: 90.00 90.00 90.00
Element x y z (fractional)
Te 0.000 0.500 0.000
Te 0.500 0.000 0.000
Fe 0.000 0.000 0.000
Se 0.500 0.500 0.500
N 0.000 0.000 0.500

For the total energy, the calculation gives -0.368 Ry per atom. As for the space-group type: P4/mmm (123). The energy relative to the elements, uncorrected comes out at 0.30 eV/atom.

---

DFT (PBE) results for crystalline Zr2TiBiH at its relaxed geometry.

abc: 4.988 5.203 4.988
angles: 90.00 90.00 90.00
Element x y z (fractional)
H 0.500 0.500 0.500
Bi 0.000 0.500 0.000
Zr 0.000 0.000 0.500
Zr 0.500 0.000 0.000
Ti 0.000 0.000 0.000

For the total energy, the calculation gives -0.395 Ry per atom. As for the space-group type: P4/mmm (123).

---

DFT (PBE) results for crystalline LiThZr at its relaxed geometry.

abc: 3.304 3.304 8.306
angles: 90.00 90.00 120.00
Element x y z (fractional)
Zr 0.333 0.667 0.673
Th 0.667 0.333 0.342
Li 0.000 0.000 0.985

For the total energy, the calculation gives -0.420 Ry per atom. Its energy of formation is 0.250 eV per atom. As for the space-group type: P3m1 (156).

---

DFT (PBE) results for crystalline K2ZrCl at its relaxed geometry.

abc: 7.723 7.723 7.723
angles: 143.42 143.42 52.70
Site moments in Bohr magnetons follow the coordinates.
Element x y z (fractional)
K 0.000 0.000 0.000  0.07
K 0.250 0.750 0.500  0.02
Zr 0.500 0.500 0.000  1.75
Cl 0.750 0.250 0.500  0.02

For the total energy, the calculation gives -0.204 Ry per atom. As for the space-group type: I-4m2 (119). The energy relative to the elements, uncorrected comes out at 0.37 eV/atom.

---

DFT (PBE) results for crystalline CrWAu4 at its relaxed geometry.

abc: 5.397 5.397 5.397
angles: 60.00 60.00 60.00
Site moments in Bohr magnetons follow the coordinates.
Element x y z (fractional)
Cr 0.250 0.250 0.250  3.69
W 0.000 0.000 0.000  -1.93
Au 0.625 0.625 0.125  -0.02
Au 0.625 0.125 0.625  -0.02
Au 0.625 0.625 0.625  -0.02
Au 0.125 0.625 0.625  -0.02

For the total energy, the calculation gives -0.386 Ry per atom. Its energy of formation is 0.702 eV per atom. As for the space-group type: F-43m (216).

---

DFT (PBE) results for crystalline TaTcIrC2 at its relaxed geometry.

abc: 3.792 5.628 3.792
angles: 90.00 90.00 90.00
Site moments in Bohr magnetons follow the coordinates.
Element x y z (fractional)
C 0.000 0.000 0.500  0.05
C 0.500 0.000 0.000  0.01
Ir 0.000 0.000 0.000  -0.04
Tc 0.000 0.500 0.000  0.50
Ta 0.500 0.500 0.500  -0.33

For the total energy, the calculation gives -0.599 Ry per atom. Its energy of formation is 1.757 eV per atom. As for the space-group type: P4/mmm (123).

---

DFT (PBE) results for crystalline K2BaHfS4 at its relaxed geometry.

abc: 8.613 8.613 9.019
angles: 121.57 121.57 90.74
Element x y z (fractional)
K 0.500 0.000 0.000
K 0.500 0.000 0.500
K 0.000 0.000 0.500
K 0.500 0.500 0.000
Ba 0.000 0.500 0.000
Ba 0.000 0.500 0.500
Hf 0.500 0.500 0.500
Hf 0.000 0.000 0.000
S 0.208 0.793 0.000
S 0.707 0.292 0.500
S 0.293 0.708 0.500
S 0.792 0.207 0.000
S 0.749 0.750 0.945
S 0.750 0.751 0.555
S 0.250 0.249 0.445
S 0.251 0.250 0.055

For the total energy, the calculation gives -0.396 Ry per atom. As for the space-group type: Imma (74). The energy relative to the elements, uncorrected comes out at -1.56 eV/atom.

---

DFT (PBE) results for crystalline Ho3ThTl4Te8 at its relaxed geometry.

abc: 8.852 9.724 8.853
angles: 117.10 120.00 90.00
Element x y z (fractional)
Ho 0.500 0.500 0.000
Ho 0.500 0.500 0.500
Ho 0.000 0.500 0.500
Th 0.000 0.500 0.000
Tl 0.500 0.000 0.000
Tl 0.500 0.000 0.500
Tl 0.000 0.000 0.000
Tl 0.000 0.000 0.500
Te 0.241 0.717 0.976
Te 0.241 0.717 0.483
Te 0.263 0.288 0.525
Te 0.734 0.717 0.976
Te 0.266 0.283 0.024
Te 0.737 0.712 0.475
Te 0.759 0.283 0.517
Te 0.759 0.283 0.024

For the total energy, the calculation gives -0.328 Ry per atom. As for the space-group type: R-3m (166). The energy relative to the elements, uncorrected comes out at -0.98 eV/atom.

---

DFT (PBE) results for crystalline KNaTlAu at its relaxed geometry.

abc: 5.100 5.100 6.537
angles: 89.91 113.06 120.00
Element x y z (fractional)
K 0.404 0.066 0.470
Na 0.001 0.865 0.866
Tl 0.484 0.607 0.091
Au 0.804 0.267 0.070

For the total energy, the calculation gives -0.163 Ry per atom. Its energy of formation is -0.197 eV per atom. As for the space-group type: Cm (8).

---

DFT (PBE) results for crystalline MnMo2W at its relaxed geometry.

abc: 2.711 2.711 8.592
angles: 90.00 90.00 108.61
Site moments in Bohr magnetons follow the coordinates.
Element x y z (fractional)
Mo 0.000 0.000 0.986  -0.15
Mo 0.000 0.000 0.514  -0.15
Mn 0.500 0.500 0.750  1.88
W 0.500 0.500 0.250  0.02

For the total energy, the calculation gives -0.800 Ry per atom. Its energy of formation is 0.056 eV per atom. As for the space-group type: Cmmm (65).

---

DFT (PBE) results for crystalline SnHSe at its relaxed geometry.

abc: 4.220 4.220 4.546
angles: 117.66 117.66 90.00
Element x y z (fractional)
H 0.286 0.286 0.571
Sn 0.004 0.004 0.007
Se 0.561 0.561 0.122

For the total energy, the calculation gives -0.265 Ry per atom. As for the space-group type: I4mm (107).